Computed, not measured: CeAgAsS after structural relaxation at the PBE-GGA level of DFT.

Energy relative to the elements, uncorrected ... -1.001 eV per atom

```
data_CeAgAsS
_chemical_formula_sum 'Ce2 Ag2 As2 S2'
_space_group_name_H-M_alt 'P 4/n m m'
_space_group_IT_number 129
_cell_length_a 4.2823
_cell_length_b 4.2823
_cell_length_c 9.1595
_cell_angle_alpha 90.00
_cell_angle_beta 90.00
_cell_angle_gamma 90.00
loop_
_space_group_symop_operation_xyz
'x,y,z'
'-x,-y,-z'
'-y+1/2,x,z'
'y+1/2,-x,-z'
'-x+1/2,-y+1/2,z'
'x+1/2,y+1/2,-z'
'y,-x+1/2,z'
'-y,x+1/2,-z'
'x+1/2,-y,-z'
'-x+1/2,y,z'
'-y,-x,-z'
'y,x,z'
'-x,y+1/2,-z'
'x,-y+1/2,z'
'y+1/2,x+1/2,-z'
'-y+1/2,-x+1/2,z'
loop_
_atom_site_label
_atom_site_type_symbol
_atom_site_fract_x
_atom_site_fract_y
_atom_site_fract_z
Ce1 Ce 0.2500 0.2500 0.1905
Ag1 Ag 0.2500 0.7500 0.5000
As1 As 0.2500 0.2500 0.6899
S1 S 0.2500 0.7500 0.0000
```

Computed, not measured: MoC after structural relaxation at the PBE-GGA level of DFT.

Excess energy over the best structure of this formula in the dataset ... 1.4202 eV/atom
Energy of formation from the pure elements ... 1327 meV per atom

```
data_MoC
_chemical_formula_sum 'Mo4 C4'
_space_group_name_H-M_alt 'P 63/m m c'
_space_group_IT_number 194
_space_group_name_Hall '-P 6c 2c'
_cell_length_a 4.4576
_cell_length_b 4.4576
_cell_length_c 5.6676
_cell_angle_alpha 90.00
_cell_angle_beta 90.00
_cell_angle_gamma 120.00
loop_
_atom_site_label
_atom_site_type_symbol
_atom_site_fract_x
_atom_site_fract_y
_atom_site_fract_z
Mo1 Mo 0.0000 0.0000 0.2500
Mo2 Mo 0.3333 0.6667 0.2500
C1 C 0.3333 0.6667 0.6337
```

Computed, not measured: Sr2Li3DySb4 after structural relaxation at the PBE-GGA level of DFT.

Energy relative to the elements, uncorrected ... -0.792 eV per atom

```
data_Sr2Li3DySb4
_chemical_formula_sum 'Sr2 Li3 Dy1 Sb4'
_space_group_name_H-M_alt 'P -4 m 2'
_space_group_IT_number 115
_space_group_name_Hall 'P -4 -2'
_cell_length_a 4.8211
_cell_length_b 4.8211
_cell_length_c 11.8433
_cell_angle_alpha 90.00
_cell_angle_beta 90.00
_cell_angle_gamma 90.00
loop_
_atom_site_label
_atom_site_type_symbol
_atom_site_fract_x
_atom_site_fract_y
_atom_site_fract_z
Sr1 Sr 0.0000 0.5000 0.2187
Li1 Li 0.0000 0.5000 0.8805
Li2 Li 0.5000 0.5000 0.5000
Dy1 Dy 0.0000 0.0000 0.5000
Sb1 Sb 0.0000 0.0000 0.0000
Sb2 Sb 0.0000 0.5000 0.6510
Sb3 Sb 0.5000 0.5000 0.0000
```

Computed, not measured: CrTcW after structural relaxation at the PBE-GGA level of DFT.

Excess energy over the best structure of this formula in the dataset ... 0.7752 eV/atom
Energy of formation from the pure elements ... 836 meV per atom

```
data_CrTcW
_chemical_formula_sum 'Cr1 Tc1 W1'
_space_group_name_H-M_alt 'P m m m'
_space_group_IT_number 47
_space_group_name_Hall '-P 2 2'
_cell_length_a 2.9728
_cell_length_b 3.9496
_cell_length_c 4.1105
_cell_angle_alpha 90.00
_cell_angle_beta 90.00
_cell_angle_gamma 90.00
loop_
_atom_site_label
_atom_site_type_symbol
_atom_site_fract_x
_atom_site_fract_y
_atom_site_fract_z
Cr1 Cr 0.0000 0.0000 0.0000
Tc1 Tc 0.5000 0.5000 0.0000
W1 W 0.5000 0.0000 0.5000
```

Computed, not measured: RbTeBr after structural relaxation at the PBE-GGA level of DFT.

Excess energy over the best structure of this formula in the dataset ... 0.0000 eV/atom
Energy relative to the elements, uncorrected ... -1.034 eV per atom

```
data_RbTeBr
_chemical_formula_sum 'Rb2 Te2 Br2'
_space_group_name_H-M_alt 'P -1'
_space_group_IT_number 2
_space_group_name_Hall '-P 1'
_cell_length_a 4.6933
_cell_length_b 4.9449
_cell_length_c 11.5545
_cell_angle_alpha 90.44
_cell_angle_beta 91.29
_cell_angle_gamma 90.07
loop_
_atom_site_label
_atom_site_type_symbol
_atom_site_fract_x
_atom_site_fract_y
_atom_site_fract_z
Rb1 Rb 0.2388 0.2493 0.3506
Te1 Te 0.2517 0.8698 0.0348
Br1 Br 0.2612 0.2519 0.6536
```

Computed, not measured: KTeIr2 after structural relaxation at the PBE-GGA level of DFT.

Energy relative to the elements, uncorrected ... 0.865 eV per atom

```
data_KTeIr2
_chemical_formula_sum 'K2 Te2 Ir4'
_space_group_name_H-M_alt 'C m m m'
_space_group_IT_number 65
_space_group_name_Hall '-C 2 2'
_cell_length_a 3.0462
_cell_length_b 5.1053
_cell_length_c 10.2601
_cell_angle_alpha 90.00
_cell_angle_beta 90.00
_cell_angle_gamma 90.00
loop_
_atom_site_label
_atom_site_type_symbol
_atom_site_fract_x
_atom_site_fract_y
_atom_site_fract_z
K1 K 0.0000 0.0000 0.0000
Te1 Te 0.0000 0.0000 0.5000
Ir1 Ir 0.0000 0.5000 0.2720
```

One value per record, in order, for DOS at the Fermi energy: 0.524, 1.002, 0.309, 1.269, 0.259, 0.761 states/eV per atom.
One value per record, in order, for total magnetic moment: 0.2, 0.0, 0.0, 0.0, 0.0, 0.0 μB per formula unit.